Here is a relaxed InSiPd5 crystal from the Alexandria database. Energies are from GGA-PBE.

Output
- Calculated total energy: -144.8 eV/cell

Unit cell a=8.9358 b=6.5559 c=9.2178 alpha=90.00 beta=115.90 gamma=90.00
Last column: nearest neighbours and their distance in Å.
Space group C2/c (No. 15)
Inequivalent atoms, fractional coordinates:
In (0.0000, 0.0803, 0.2500) [4 per cell]  7 Pd 2.71-2.86
Si (0.2500, 0.2500, 0.0000) [4 per cell]  6 Pd 2.41-2.59
Pd (0.0000, 0.3332, 0.7500) [4 per cell]  2 Si 2.47, 1 In 2.71, 4 Pd 2.72-2.74
Pd (0.1308, 0.3871, 0.4917) [8 per cell]  1 Si 2.59, 6 Pd 2.65-2.83, 1 In 2.85
Pd (0.2197, 0.3548, 0.2365) [8 per cell]  1 Si 2.41, 1 Pd 2.65

***

Here is a relaxed Hg3SO4 crystal from the Alexandria database. Energies are from GGA-PBE.

Output
- Calculated total energy: -61.9 eV/cell

Unit cell a=5.6592 b=6.3433 c=8.3738 alpha=90.00 beta=90.00 gamma=90.00
Last column: nearest neighbours and their distance in Å.
Space group Imm2 (No. 44)
Inequivalent atoms, fractional coordinates:
Hg (0.0000, 0.0000, 0.0000) [2 per cell]  6 Hg 3.18-3.51, 8 O 3.37-3.46, 2 S 3.55
Hg (0.0000, 0.2923, 0.6916) [4 per cell]  2 O 2.49, 1 Hg 2.64
S (0.0000, 0.5000, 0.2437) [2 per cell]  4 O 1.47-1.54
O (0.0000, 0.3045, 0.3390) [4 per cell]  1 S 1.47
O (0.2177, 0.5000, 0.1337) [4 per cell]  1 S 1.54

***

Here is a relaxed BeZn2Hg crystal from the Alexandria database. Energies are from GGA-PBE.

Output
- Energy above the most stable polymorph in this dataset: 65.8 meV/atom
- Calculated total energy: -5.4 eV/cell
- DFT formation energy: 0.282 eV per atom

Unit cell a=3.1591 b=4.5294 c=4.7126 alpha=90.00 beta=100.07 gamma=90.00
Last column: nearest neighbours and their distance in Å.
Space group P2/m (No. 10)
Inequivalent atoms, fractional coordinates:
Be (0.0000, 0.0000, 0.0000) [1 per cell]  4 Zn 2.57, 2 Hg 2.60
Zn (0.2656, 0.5000, 0.2223) [2 per cell]  1 Zn 2.45, 2 Be 2.57, 2 Hg 2.66
Hg (0.5000, 0.0000, 0.5000) [1 per cell]  2 Be 2.60, 4 Zn 2.66

***

Here is a relaxed Hf2CuHg crystal from the Alexandria database. Energies are from GGA-PBE.

Output
- Calculated total energy: -67.6 eV/cell
- DFT formation energy: 0.442 eV per atom

Unit cell a=3.0044 b=3.0044 c=31.9215 alpha=90.00 beta=90.00 gamma=120.00
Last column: nearest neighbours and their distance in Å.
Space group R-3m (No. 166, hexagonal axes)
Inequivalent atoms, fractional coordinates:
Hf (0.0000, 0.0000, 0.0849) [6 per cell]  1 Cu 2.71, 6 Hf 3.00
Cu (0.0000, 0.0000, 0.0000) [3 per cell]  2 Hf 2.71, 6 Cu 3.00
Hg (0.0000, 0.0000, 0.5000) [3 per cell]  6 Hg 3.00, 6 Hf 3.13

***

Here is a relaxed RbDy3Te4O12 crystal from the Alexandria database. Energies are from GGA-PBE.

Output
- Calculated total energy: -367.9 eV/cell

Unit cell a=11.6074 b=11.6074 c=9.2808 alpha=90.00 beta=90.00 gamma=120.00
Last column: nearest neighbours and their distance in Å.
Space group R32 (No. 155, hexagonal axes)
Inequivalent atoms, fractional coordinates:
Rb (0.0000, 0.0000, 0.0000) [3 per cell]  6 O 3.07
Dy (0.0000, 0.5744, 0.0000) [9 per cell]  6 O 2.22-2.41
Te (0.0000, 0.0000, 0.5000) [3 per cell]  3 O 2.05
Te (0.0000, 0.4075, 0.5000) [9 per cell]  3 O 1.94-2.01
O (0.0000, 0.5745, 0.5000) [9 per cell]  1 Te 1.94
O (0.0000, 0.8236, 0.5000) [9 per cell]  1 Te 2.05, 2 Dy 2.22
O (0.0393, 0.1896, 0.2499) [18 per cell]  1 Te 2.01, 1 Dy 2.23

***

Here is a relaxed CaCdP2Rh5 crystal from the Alexandria database. Energies are from GGA-PBE.

Output
- Calculated total energy: -54.7 eV/cell
- DFT formation energy: -0.466 eV per atom

Unit cell a=4.1886 b=4.1886 c=8.2214 alpha=90.00 beta=90.00 gamma=90.00
Last column: nearest neighbours and their distance in Å.
Space group P4/mmm (No. 123)
Inequivalent atoms, fractional coordinates:
Ca (0.0000, 0.0000, 0.0000) [1 per cell]  12 Rh 2.94-2.96
Cd (0.0000, 0.0000, 0.5000) [1 per cell]  8 Rh 2.93, 8 P 3.17
P (0.5000, 0.5000, 0.3615) [2 per cell]  1 P 2.28, 4 Rh 2.29
Rh (0.0000, 0.5000, 0.2503) [4 per cell]  2 P 2.29
Rh (0.5000, 0.5000, 0.0000) [1 per cell]  8 Rh 2.94, 4 Ca 2.96, 2 P 2.97

***

Here is a relaxed BaNaScBe2 crystal from the Alexandria database. Energies are from GGA-PBE.

Output
- Calculated total energy: -8.9 eV/cell
- DFT formation energy: 1.628 eV per atom

Unit cell a=5.1808 b=5.1808 c=5.4671 alpha=90.00 beta=90.00 gamma=90.00
Last column: nearest neighbours and their distance in Å.
Space group P4/mmm (No. 123)
Inequivalent atoms, fractional coordinates:
Ba (0.0000, 0.0000, 0.0000) [1 per cell]  4 Be 2.59, 2 Na 2.73
Na (0.0000, 0.0000, 0.5000) [1 per cell]  2 Ba 2.73
Sc (0.5000, 0.5000, 0.5000) [1 per cell]  4 Na 3.66, 8 Be 3.77
Be (0.0000, 0.5000, 0.0000) [2 per cell]  2 Ba 2.59

***

Here is a relaxed SiPdI2O crystal from the Alexandria database. Energies are from GGA-PBE.

Output
- Energy above the most stable polymorph in this dataset: 551.8 meV/atom
- Calculated total energy: -17.0 eV/cell

Unit cell a=5.5955 b=5.5955 c=3.8710 alpha=90.00 beta=90.00 gamma=90.00
Last column: nearest neighbours and their distance in Å.
Space group P4/mmm (No. 123)
Inequivalent atoms, fractional coordinates:
Si (0.0000, 0.0000, 0.0000) [1 per cell]  8 I 3.40
Pd (0.5000, 0.5000, 0.5000) [1 per cell]  2 O 1.94
I (0.0000, 0.5000, 0.5000) [2 per cell]  2 Pd 2.80
O (0.5000, 0.5000, 0.0000) [1 per cell]  2 Pd 1.94

***

What is the calculated total energy in the first record? -144.8 eV/cell

***

Look up the calculated total energy of the sixth one. -54.7 eV/cell